[1]
Entry from the Alexandria database: a geometry-optimized LaZnIn2Au2 structure (PBE).

a = 6.8108 Å, b = 6.8108 Å, c = 6.8108 Å
α = 132.86°, β = 132.86°, γ = 68.87°
Element x y z (fractional)
La 0.0000 0.0000 0.0000
Zn 0.5000 0.5000 0.0000
In 0.2500 0.7500 0.5000
In 0.7500 0.2500 0.5000
Au 0.2785 0.2785 0.0000
Au 0.7215 0.7215 0.0000

Properties
The symmetry is I4/mmm. The total energy is -3.192 eV/atom. The calculation puts the formation energy at -0.153 eV per atom.

[2]
Entry from the Alexandria database: a geometry-optimized LiB2C2 structure (PBE).

a = 5.3996 Å, b = 4.6949 Å, c = 7.3101 Å
α = 90.00°, β = 90.00°, γ = 90.00°
Element x y z (fractional)
Li 0.1412 0.2500 0.0000
Li 0.1412 0.2500 0.5000
Li 0.8588 0.7500 0.0000
Li 0.8588 0.7500 0.5000
B 0.1274 0.5842 0.2500
B 0.1274 0.9158 0.7500
B 0.3783 0.0795 0.2500
B 0.3783 0.4205 0.7500
B 0.6217 0.5795 0.2500
B 0.6217 0.9205 0.7500
B 0.8726 0.0842 0.2500
B 0.8726 0.4158 0.7500
C 0.1240 0.5801 0.7500
C 0.1240 0.9199 0.2500
C 0.3738 0.0869 0.7500
C 0.3738 0.4131 0.2500
C 0.6262 0.5869 0.7500
C 0.6262 0.9131 0.2500
C 0.8760 0.0801 0.7500
C 0.8760 0.4199 0.2500

Properties
The symmetry is Pbcm. The total energy is -6.778 eV/atom. The calculation puts the formation energy at -0.034 eV per atom. The energy above the most stable polymorph in this dataset is 35 meV/atom.

[3]
Entry from the Alexandria database: a geometry-optimized BeCoCu structure (PBE).

a = 2.4734 Å, b = 2.4734 Å, c = 5.8115 Å
α = 90.00°, β = 90.00°, γ = 120.00°
Element x y z (fractional)
Be 0.0000 0.0000 0.0000
Co 0.3333 0.6667 0.3041
Cu 0.6667 0.3333 0.6725

Properties
The symmetry is P3m1. The total energy is -4.969 eV/atom. The calculation puts the formation energy at 0.007 eV per atom. The energy above the most stable polymorph in this dataset is 93 meV/atom.

[4]
Entry from the Alexandria database: a geometry-optimized Ac2Zn3Ru structure (PBE).

a = 8.9180 Å, b = 8.7282 Å, c = 6.2369 Å
α = 70.94°, β = 67.68°, γ = 41.38°
Element x y z (fractional)
Ac 0.2355 0.7645 0.7645
Ac 0.2500 0.2500 0.2500
Ac 0.7500 0.7500 0.7500
Ac 0.7645 0.2355 0.2355
Zn 0.1680 0.6626 0.3374
Zn 0.3269 0.3269 0.6731
Zn 0.3374 0.8320 0.1680
Zn 0.6626 0.1680 0.8320
Zn 0.6731 0.6731 0.3269
Zn 0.8320 0.3374 0.6626
Ru 0.1572 0.1572 0.8428
Ru 0.8428 0.8428 0.1572

Properties
The symmetry is Fmmm. The total energy is -3.803 eV/atom. The calculation puts the formation energy at -0.250 eV per atom. The energy above the most stable polymorph in this dataset is 0 meV/atom.

[5]
Entry from the Alexandria database: a geometry-optimized SrPm2ErAs4 structure (PBE).

a = 7.3519 Å, b = 4.2435 Å, c = 7.3983 Å
α = 90.00°, β = 109.35°, γ = 90.00°
Element x y z (fractional)
Sr 0.0000 0.0000 0.0000
Pm 0.5000 0.0000 0.5000
Pm 0.5000 0.5000 0.0000
Er 0.0000 0.5000 0.5000
As 0.2477 0.0000 0.7392
As 0.2568 0.5000 0.2640
As 0.7432 0.5000 0.7360
As 0.7523 0.0000 0.2608

Properties
The symmetry is P2/m. The total energy is -5.622 eV/atom. The calculation puts the formation energy at -1.329 eV per atom.

[6]
Entry from the Alexandria database: a geometry-optimized Li2MnCuS structure (PBE).

a = 5.0504 Å, b = 5.0504 Å, c = 4.1200 Å
α = 90.00°, β = 90.00°, γ = 90.00°
Element x y z (fractional)
Li 0.0000 0.5000 0.0000
Li 0.5000 0.0000 0.0000
Mn 0.0000 0.0000 0.0000
Cu 0.5000 0.5000 0.5000
S 0.0000 0.0000 0.5000

Properties
The symmetry is P4/mmm. The total energy is -3.858 eV/atom. Its raw formation energy is 0.3865 eV/atom.

[7]
Entry from the Alexandria database: a geometry-optimized CaZr2AlCu structure (PBE).

a = 5.0568 Å, b = 5.0568 Å, c = 4.6734 Å
α = 90.00°, β = 90.00°, γ = 90.00°
Element x y z (fractional)
Ca 0.0000 0.0000 0.0000
Zr 0.0000 0.5000 0.5000
Zr 0.5000 0.0000 0.5000
Al 0.5000 0.5000 0.0000
Cu 0.5000 0.5000 0.5000

Properties
The symmetry is P4/mmm. The total energy is -5.081 eV/atom. The calculation puts the formation energy at 0.307 eV per atom.

[8]
Entry from the Alexandria database: a geometry-optimized CdRhW2 structure (PBE).

a = 2.7583 Å, b = 4.3052 Å, c = 5.4683 Å
α = 90.00°, β = 90.00°, γ = 90.00°
Element x y z (fractional)
Cd 0.0000 0.0000 0.0000
Rh 0.0000 0.0000 0.5000
W 0.5000 0.5000 0.2604
W 0.5000 0.5000 0.7396

Properties
The symmetry is Pmmm. The total energy is -8.211 eV/atom. The calculation puts the formation energy at 0.332 eV per atom.

[9]
Entry from the Alexandria database: a geometry-optimized KRuSe structure (PBE).

a = 4.1130 Å, b = 4.1130 Å, c = 10.1244 Å
α = 90.00°, β = 90.00°, γ = 90.00°
Element x y z (fractional)
K 0.2500 0.2500 0.1950
K 0.7500 0.7500 0.8050
Ru 0.2500 0.7500 0.5000
Ru 0.7500 0.2500 0.5000
Se 0.2500 0.2500 0.6332
Se 0.7500 0.7500 0.3668

Properties
The symmetry is P4/nmm. The total energy is -4.996 eV/atom. Its raw formation energy is -0.3765 eV/atom. The energy above the most stable polymorph in this dataset is 0 meV/atom.

[10]
Entry from the Alexandria database: a geometry-optimized PuMgSbRh structure (PBE).

a = 4.9377 Å, b = 4.9377 Å, c = 4.9377 Å
α = 60.00°, β = 60.00°, γ = 60.00°
Element x y z (fractional)
Pu 0.0000 0.0000 0.0000
Mg 0.5000 0.5000 0.5000
Sb 0.2500 0.2500 0.2500
Rh 0.7500 0.7500 0.7500

Properties
The symmetry is F-43m. The total energy is -7.167 eV/atom. Its raw formation energy is -0.3169 eV/atom.

[11]
Entry from the Alexandria database: a geometry-optimized Sm3AsC structure (PBE).

a = 8.1459 Å, b = 3.9633 Å, c = 14.2200 Å
α = 90.00°, β = 90.00°, γ = 90.00°
Element x y z (fractional)
Sm 0.0188 0.2500 0.1019
Sm 0.1647 0.2500 0.5136
Sm 0.1939 0.7500 0.2933
Sm 0.3061 0.2500 0.7933
Sm 0.3353 0.7500 0.0136
Sm 0.4812 0.7500 0.6019
Sm 0.5188 0.2500 0.3981
Sm 0.6647 0.2500 0.9864
Sm 0.6939 0.7500 0.2067
Sm 0.8061 0.2500 0.7067
Sm 0.8353 0.7500 0.4864
Sm 0.9812 0.7500 0.8981
As 0.0932 0.7500 0.6790
As 0.4068 0.2500 0.1790
As 0.5932 0.7500 0.8210
As 0.9068 0.2500 0.3210
C 0.1730 0.2500 0.9433
C 0.3270 0.7500 0.4433
C 0.6730 0.2500 0.5567
C 0.8270 0.7500 0.0567

Properties
The symmetry is Pnma. The total energy is -6.301 eV/atom. The calculation puts the formation energy at -0.695 eV per atom.

[12]
Entry from the Alexandria database: a geometry-optimized KTlP4 structure (PBE).

a = 5.9031 Å, b = 5.9031 Å, c = 5.9031 Å
α = 60.00°, β = 60.00°, γ = 60.00°
Element x y z (fractional)
K 0.0000 0.0000 0.0000
Tl 0.2500 0.2500 0.2500
P 0.2056 0.5981 0.5981
P 0.5981 0.2056 0.5981
P 0.5981 0.5981 0.2056
P 0.5981 0.5981 0.5981

Properties
The symmetry is F-43m. The total energy is -4.077 eV/atom. The calculation puts the formation energy at 0.106 eV per atom.

Please write out number 1 again, unchanged.
Entry from the Alexandria database: a geometry-optimized LaZnIn2Au2 structure (PBE).

a = 6.8108 Å, b = 6.8108 Å, c = 6.8108 Å
α = 132.86°, β = 132.86°, γ = 68.87°
Element x y z (fractional)
La 0.0000 0.0000 0.0000
Zn 0.5000 0.5000 0.0000
In 0.2500 0.7500 0.5000
In 0.7500 0.2500 0.5000
Au 0.2785 0.2785 0.0000
Au 0.7215 0.7215 0.0000

Properties
The symmetry is I4/mmm. The total energy is -3.192 eV/atom. The calculation puts the formation energy at -0.153 eV per atom.